# 1
Computed, not measured: PdRuPt after structural relaxation at the PBE-GGA level of DFT.

POSCAR file:
```
PdRuPt
1.0
-0.058 4.338 -3.441
-3.351 -1.268 -1.542
-4.208 2.213 7.323
Pd Ru Pt
4 4 4
Cartesian
-3.528 2.579 5.546
-0.737 3.973 -1.664
-3.100 0.838 1.114
-4.516 4.446 1.226
-1.675 -0.634 -0.771
-2.104 1.107 3.661
-2.133 3.276 1.941
-1.704 1.535 -2.492
-3.557 4.750 3.824
-0.708 1.801 0.058
-3.129 3.010 -0.608
-4.487 2.274 2.948
```

Calculated values
E above lowest polymorph = 0.030 eV per atom
Formation energy = 0.093 eV/atom

# 2
Computed, not measured: DyHo4Tl4 after structural relaxation at the PBE-GGA level of DFT.

POSCAR file:
```
DyHo4Tl4
1.0
5.858 0.000 0.000
0.000 9.419 0.000
0.000 0.000 9.419
Dy Ho Tl
2 8 8
Cartesian
0.000 0.000 0.000
2.929 4.709 4.709
2.250 3.978 7.929
5.179 6.199 8.687
2.250 5.440 1.489
0.679 0.731 6.199
3.608 7.929 5.440
0.679 8.687 3.220
5.179 3.220 0.731
3.608 1.489 3.978
3.567 8.449 1.970
3.567 0.970 7.449
0.638 6.679 5.679
5.220 3.739 6.679
5.220 5.679 2.739
2.291 1.970 0.970
2.291 7.449 8.449
0.638 2.739 3.739
```

Calculated values
Formation energy = -0.152 eV/atom

# 3
Computed, not measured: La3Tb3SmSe8 after structural relaxation at the PBE-GGA level of DFT.

POSCAR file:
```
La3Tb3SmSe8
1.0
8.326 0.000 0.000
-4.163 7.210 -0.026
0.000 -4.782 6.951
La Tb Sm Se
3 3 1 8
Cartesian
0.000 0.000 0.000
-2.081 3.605 -0.013
2.081 3.605 -0.013
4.163 -2.391 3.475
2.081 1.214 3.463
-2.081 1.214 3.463
0.000 -2.391 3.475
0.000 2.410 1.837
4.163 0.018 5.088
4.163 2.346 1.793
0.000 0.082 5.132
6.189 -1.164 1.806
-2.026 3.591 5.119
2.137 -1.164 1.806
2.026 3.591 5.119
```

Calculated values
Total energy = -6.01 eV/atom

# 4
Computed, not measured: K2CaSn2 after structural relaxation at the PBE-GGA level of DFT.

POSCAR file:
```
K2CaSn2
1.0
-2.408 -0.064 -4.178
-1.068 -4.652 0.687
-8.363 -0.278 2.041
K Ca Sn
2 1 2
Cartesian
-6.254 -1.350 -1.941
-5.585 -3.644 0.492
0.000 0.000 0.000
-2.882 -1.999 -1.091
-8.957 -2.995 -0.358
```

Calculated values
E above lowest polymorph = 0.013 eV per atom
Formation energy = -0.165 eV/atom